Density functional theory data (PBE-GGA) for a geometry-optimized Li2GaAu4 structure.

```
Li2GaAu4
1.0
5.751 0.000 0.000
0.000 5.751 0.000
0.000 0.000 7.339
Li Ga Au
4 2 8
Cartesian
0.000 2.875 0.000
0.000 2.875 3.670
2.875 0.000 0.000
2.875 0.000 3.670
0.000 0.000 0.000
2.875 2.875 3.670
1.438 1.438 1.835
1.438 1.438 5.504
1.438 4.313 1.835
1.438 4.313 5.504
4.313 1.438 1.835
4.313 1.438 5.504
4.313 4.313 1.835
4.313 4.313 5.504
```

Properties
The energy above the most stable polymorph in this dataset is 0.0 meV/atom. The value obtained for the calculated formation energy is -37.1 kJ/mol of atoms. As for the symmetry: No. 139. The total energy is -45.311 eV for the cell shown. Its mass density is 11.9 Mg/m³.